(1)
A relaxed structure of Ag2IrOs, computed with PBE-GGA.

```
data_Ag2IrOs
_symmetry_space_group_name_H-M 'P 1'
_symmetry_Int_Tables_number 1
_cell_length_a 4.4833
_cell_length_b 4.4833
_cell_length_c 4.4833
_cell_angle_alpha 60.00
_cell_angle_beta 60.00
_cell_angle_gamma 60.00
loop_
_symmetry_equiv_pos_as_xyz
'x,y,z'
loop_
_atom_site_label
_atom_site_fract_x
_atom_site_fract_y
_atom_site_fract_z
_atom_site_occupancy
Ag1 0.2500 0.2500 0.2500 1
Ag2 0.7500 0.7500 0.7500 1
Ir1 0.0000 0.0000 0.0000 1
Os1 0.5000 0.5000 0.5000 1
```

Output
Energy of formation = 1.049 eV/atom
Volume = 15.931 Å³/atom
Space group = Fm-3m (225)
Total magnetic moment = 1.25 μB per cell
Fermi-level density of states = 4.77 states/eV/cell
E = -0.3969 Ry/atom


(2)
A relaxed structure of AgIrOs, computed with PBE-GGA.

```
data_AgIrOs
_symmetry_space_group_name_H-M 'P 1'
_symmetry_Int_Tables_number 1
_cell_length_a 2.7541
_cell_length_b 2.7541
_cell_length_c 7.0239
_cell_angle_alpha 90.00
_cell_angle_beta 90.00
_cell_angle_gamma 120.00
loop_
_symmetry_equiv_pos_as_xyz
'x,y,z'
loop_
_atom_site_label
_atom_site_fract_x
_atom_site_fract_y
_atom_site_fract_z
_atom_site_occupancy
Ag1 0.0000 0.0000 0.0000 1
Ir1 0.3333 0.6667 0.3500 1
Os1 0.6667 0.3333 0.6517 1
```

Output
Energy of formation = 0.314 eV/atom
Volume = 15.380 Å³/atom
Space group = P3m1 (156)
Total magnetic moment = 0.00 μB per cell
Fermi-level density of states = 2.19 states/eV/cell
E = -0.5390 Ry/atom


(3)
A relaxed structure of AgIr2Os, computed with PBE-GGA.

```
data_AgIr2Os
_symmetry_space_group_name_H-M 'P 1'
_symmetry_Int_Tables_number 1
_cell_length_a 2.7718
_cell_length_b 3.8425
_cell_length_c 5.6762
_cell_angle_alpha 90.00
_cell_angle_beta 90.00
_cell_angle_gamma 90.00
loop_
_symmetry_equiv_pos_as_xyz
'x,y,z'
loop_
_atom_site_label
_atom_site_fract_x
_atom_site_fract_y
_atom_site_fract_z
_atom_site_occupancy
Ag1 0.0000 0.0000 0.0000 1
Ir1 0.5000 0.5000 0.2663 1
Ir2 0.5000 0.5000 0.7337 1
Os1 0.0000 0.0000 0.5000 1
```

Output
Energy of formation = 0.331 eV/atom
Volume = 15.113 Å³/atom
Space group = Pmmm (47)
Total magnetic moment = 0.00 μB per cell
Fermi-level density of states = 3.61 states/eV/cell
E = -0.5601 Ry/atom


(4)
A relaxed structure of AgIr2Os, computed with PBE-GGA.

```
data_AgIr2Os
_symmetry_space_group_name_H-M 'P 1'
_symmetry_Int_Tables_number 1
_cell_length_a 5.7122
_cell_length_b 5.7122
_cell_length_c 5.7122
_cell_angle_alpha 152.35
_cell_angle_beta 132.38
_cell_angle_gamma 55.96
loop_
_symmetry_equiv_pos_as_xyz
'x,y,z'
loop_
_atom_site_label
_atom_site_fract_x
_atom_site_fract_y
_atom_site_fract_z
_atom_site_occupancy
Ag1 0.0000 0.0000 0.0000 1
Ir1 0.2888 0.7888 0.5000 1
Ir2 0.5223 0.5223 0.0000 1
Os1 0.7349 0.2349 0.5000 1
```

Output
Energy of formation = 0.484 eV/atom
Volume = 15.880 Å³/atom
Space group = Imm2 (44)
Total magnetic moment = 0.00 μB per cell
Fermi-level density of states = 3.82 states/eV/cell
E = -0.5488 Ry/atom


(5)
A relaxed structure of Ag2IrOs, computed with PBE-GGA.

```
data_Ag2IrOs
_symmetry_space_group_name_H-M 'P 1'
_symmetry_Int_Tables_number 1
_cell_length_a 2.7777
_cell_length_b 3.8302
_cell_length_c 6.1474
_cell_angle_alpha 90.00
_cell_angle_beta 90.00
_cell_angle_gamma 90.00
loop_
_symmetry_equiv_pos_as_xyz
'x,y,z'
loop_
_atom_site_label
_atom_site_fract_x
_atom_site_fract_y
_atom_site_fract_z
_atom_site_occupancy
Ag1 0.0000 0.0000 0.0000 1
Ag2 0.5000 0.5000 0.2489 1
Ir1 0.0000 0.0000 0.5393 1
Os1 0.5000 0.5000 0.7113 1
```

Output
Energy of formation = 0.368 eV/atom
Volume = 16.351 Å³/atom
Space group = Pmm2 (25)
Total magnetic moment = 0.00 μB per cell
Fermi-level density of states = 1.70 states/eV/cell
E = -0.4469 Ry/atom


(6)
A relaxed structure of AgIr2Os, computed with PBE-GGA.

```
data_AgIr2Os
_symmetry_space_group_name_H-M 'P 1'
_symmetry_Int_Tables_number 1
_cell_length_a 2.7356
_cell_length_b 4.6957
_cell_length_c 4.7906
_cell_angle_alpha 90.00
_cell_angle_beta 90.00
_cell_angle_gamma 90.00
loop_
_symmetry_equiv_pos_as_xyz
'x,y,z'
loop_
_atom_site_label
_atom_site_fract_x
_atom_site_fract_y
_atom_site_fract_z
_atom_site_occupancy
Ag1 0.0000 0.0000 0.0000 1
Ir1 0.0000 0.5000 0.5000 1
Ir2 0.5000 0.5000 0.0000 1
Os1 0.5000 0.0000 0.5000 1
```

Output
Energy of formation = 0.708 eV/atom
Volume = 15.384 Å³/atom
Space group = Pmmm (47)
Total magnetic moment = 0.00 μB per cell
Fermi-level density of states = 5.04 states/eV/cell
E = -0.5324 Ry/atom


(7)
A relaxed structure of Ag2IrOs, computed with PBE-GGA.

```
data_Ag2IrOs
_symmetry_space_group_name_H-M 'P 1'
_symmetry_Int_Tables_number 1
_cell_length_a 2.7306
_cell_length_b 2.7306
_cell_length_c 9.9051
_cell_angle_alpha 90.00
_cell_angle_beta 90.00
_cell_angle_gamma 119.38
loop_
_symmetry_equiv_pos_as_xyz
'x,y,z'
loop_
_atom_site_label
_atom_site_fract_x
_atom_site_fract_y
_atom_site_fract_z
_atom_site_occupancy
Ag1 0.0000 0.0000 0.2486 1
Ag2 0.0000 0.0000 0.7514 1
Ir1 0.5000 0.5000 0.0000 1
Os1 0.5000 0.5000 0.5000 1
```

Output
Energy of formation = 0.614 eV/atom
Volume = 16.088 Å³/atom
Space group = Cmmm (65)
Total magnetic moment = 0.00 μB per cell
Fermi-level density of states = 5.27 states/eV/cell
E = -0.4288 Ry/atom


(8)
A relaxed structure of AgIr2Os, computed with PBE-GGA.

```
data_AgIr2Os
_symmetry_space_group_name_H-M 'P 1'
_symmetry_Int_Tables_number 1
_cell_length_a 5.5674
_cell_length_b 5.5674
_cell_length_c 5.5674
_cell_angle_alpha 151.67
_cell_angle_beta 129.64
_cell_angle_gamma 58.79
loop_
_symmetry_equiv_pos_as_xyz
'x,y,z'
loop_
_atom_site_label
_atom_site_fract_x
_atom_site_fract_y
_atom_site_fract_z
_atom_site_occupancy
Ag1 0.0000 0.0000 0.0000 1
Ir1 0.2701 0.7701 0.5000 1
Ir2 0.7299 0.2299 0.5000 1
Os1 0.5000 0.5000 0.0000 1
```

Output
Energy of formation = 0.538 eV/atom
Volume = 15.656 Å³/atom
Space group = Immm (71)
Total magnetic moment = 0.00 μB per cell
Fermi-level density of states = 4.08 states/eV/cell
E = -0.5448 Ry/atom


(9)
A relaxed structure of AgIr2Os, computed with PBE-GGA.

```
data_AgIr2Os
_symmetry_space_group_name_H-M 'P 1'
_symmetry_Int_Tables_number 1
_cell_length_a 4.7964
_cell_length_b 4.7964
_cell_length_c 4.8491
_cell_angle_alpha 99.02
_cell_angle_beta 99.02
_cell_angle_gamma 33.22
loop_
_symmetry_equiv_pos_as_xyz
'x,y,z'
loop_
_atom_site_label
_atom_site_fract_x
_atom_site_fract_y
_atom_site_fract_z
_atom_site_occupancy
Ag1 0.0000 0.0000 0.0000 1
Ir1 0.2430 0.2430 0.7375 1
Ir2 0.7570 0.7570 0.2625 1
Os1 0.5000 0.5000 0.5000 1
```

Output
Energy of formation = 0.396 eV/atom
Volume = 15.072 Å³/atom
Space group = C2/m (12)
Total magnetic moment = 0.00 μB per cell
Fermi-level density of states = 3.88 states/eV/cell
E = -0.5552 Ry/atom


(10)
A relaxed structure of AgIrOs4, computed with PBE-GGA.

```
data_AgIrOs4
_symmetry_space_group_name_H-M 'P 1'
_symmetry_Int_Tables_number 1
_cell_length_a 5.1459
_cell_length_b 5.1459
_cell_length_c 5.1459
_cell_angle_alpha 60.00
_cell_angle_beta 60.00
_cell_angle_gamma 60.00
loop_
_symmetry_equiv_pos_as_xyz
'x,y,z'
loop_
_atom_site_label
_atom_site_fract_x
_atom_site_fract_y
_atom_site_fract_z
_atom_site_occupancy
Ag1 0.0000 0.0000 0.0000 1
Ir1 0.2500 0.2500 0.2500 1
Os1 0.1265 0.6245 0.6245 1
Os2 0.6245 0.1265 0.6245 1
Os3 0.6245 0.6245 0.1265 1
Os4 0.6245 0.6245 0.6245 1
```

Output
Energy of formation = 0.962 eV/atom
Volume = 16.059 Å³/atom
Space group = F-43m (216)
Total magnetic moment = 1.38 μB per cell
Fermi-level density of states = 10.61 states/eV/cell
E = -0.6230 Ry/atom


Q: What is the formula in the eighth record?
A: AgIr2Os


Q: Fermi-level density of states of number 4 (AgIr2Os)?
A: 3.82 states/eV/cell


Q: Which formula does entry 7 have?
A: Ag2IrOs